Record 1
Compound: LiBeNiSn
Source: OQMD via LeMat-Bulk
Functional: PBE
Structure: relaxed

Summary:
E_tot	-3.868	eV/atom
size of the total moment	0.004	μB per atom
offset from the most stable computed form	86.0	meV/atom

```
data_LiBeNiSn
_cell_length_a 4.218
_cell_length_b 4.218
_cell_length_c 4.218
_cell_angle_alpha 60.00
_cell_angle_beta 60.00
_cell_angle_gamma 60.00
_space_group_name_H-M_alt 'P 1'
_space_group_IT_number 1
_space_group_name_Hall 'P 1'
loop_
_atom_site_label
_atom_site_type_symbol
_atom_site_fract_x
_atom_site_fract_y
_atom_site_fract_z
Li1 Li 0.000 0.000 0.000
Be1 Be 0.250 0.250 0.250
Ni1 Ni 0.750 0.750 0.750
Sn1 Sn 0.500 0.500 0.500
```

---

Record 2
Compound: LiTaBeNi
Source: OQMD via LeMat-Bulk
Functional: PBE
Structure: relaxed

Summary:
E_tot	-5.812	eV/atom
size of the total moment	0.001	μB per atom
offset from the most stable computed form	0.0	meV/atom

```
data_LiTaBeNi
_cell_length_a 4.063
_cell_length_b 4.063
_cell_length_c 4.063
_cell_angle_alpha 60.00
_cell_angle_beta 60.00
_cell_angle_gamma 60.00
_space_group_name_H-M_alt 'P 1'
_space_group_IT_number 1
_space_group_name_Hall 'P 1'
loop_
_atom_site_label
_atom_site_type_symbol
_atom_site_fract_x
_atom_site_fract_y
_atom_site_fract_z
Li1 Li 0.000 0.000 0.000
Ta1 Ta 0.750 0.750 0.750
Be1 Be 0.250 0.250 0.250
Ni1 Ni 0.500 0.500 0.500
```

---

Record 3
Compound: LiTaBeNi
Source: OQMD via LeMat-Bulk
Functional: PBE
Structure: relaxed

Summary:
E_tot	-5.580	eV/atom
size of the total moment	0.001	μB per atom
offset from the most stable computed form	232.6	meV/atom

```
data_LiTaBeNi
_cell_length_a 4.030
_cell_length_b 4.030
_cell_length_c 4.030
_cell_angle_alpha 60.00
_cell_angle_beta 60.00
_cell_angle_gamma 60.00
_space_group_name_H-M_alt 'P 1'
_space_group_IT_number 1
_space_group_name_Hall 'P 1'
loop_
_atom_site_label
_atom_site_type_symbol
_atom_site_fract_x
_atom_site_fract_y
_atom_site_fract_z
Li1 Li 0.000 0.000 0.000
Ta1 Ta 0.750 0.750 0.750
Be1 Be 0.500 0.500 0.500
Ni1 Ni 0.250 0.250 0.250
```

---

Record 4
Compound: LiTaBeNi
Source: OQMD via LeMat-Bulk
Functional: PBE
Structure: relaxed

Summary:
E_tot	-5.728	eV/atom
size of the total moment	0.000	μB per atom
offset from the most stable computed form	84.7	meV/atom

```
data_LiTaBeNi
_cell_length_a 4.107
_cell_length_b 4.107
_cell_length_c 4.107
_cell_angle_alpha 60.00
_cell_angle_beta 60.00
_cell_angle_gamma 60.00
_space_group_name_H-M_alt 'P 1'
_space_group_IT_number 1
_space_group_name_Hall 'P 1'
loop_
_atom_site_label
_atom_site_type_symbol
_atom_site_fract_x
_atom_site_fract_y
_atom_site_fract_z
Li1 Li 0.000 0.000 0.000
Ta1 Ta 0.500 0.500 0.500
Be1 Be 0.750 0.750 0.750
Ni1 Ni 0.250 0.250 0.250
```

---

Record 5
Compound: LiBeZnNi
Source: OQMD via LeMat-Bulk
Functional: PBE
Structure: relaxed

Summary:
E_tot	-3.249	eV/atom
size of the total moment	0.000	μB per atom
offset from the most stable computed form	0.0	meV/atom

```
data_LiBeZnNi
_cell_length_a 3.945
_cell_length_b 3.945
_cell_length_c 3.945
_cell_angle_alpha 60.00
_cell_angle_beta 60.00
_cell_angle_gamma 60.00
_space_group_name_H-M_alt 'P 1'
_space_group_IT_number 1
_space_group_name_Hall 'P 1'
loop_
_atom_site_label
_atom_site_type_symbol
_atom_site_fract_x
_atom_site_fract_y
_atom_site_fract_z
Li1 Li 0.000 0.000 0.000
Be1 Be 0.250 0.250 0.250
Zn1 Zn 0.750 0.750 0.750
Ni1 Ni 0.500 0.500 0.500
```

---

Record 6
Compound: LiNpBe
Source: OQMD via LeMat-Bulk
Functional: PBE
Structure: relaxed

Summary:
E_tot	-4.974	eV/atom
size of the total moment	2.011	μB per atom

```
data_LiNpBe
_cell_length_a 4.365
_cell_length_b 4.365
_cell_length_c 4.365
_cell_angle_alpha 60.00
_cell_angle_beta 60.00
_cell_angle_gamma 60.00
_space_group_name_H-M_alt 'P 1'
_space_group_IT_number 1
_space_group_name_Hall 'P 1'
loop_
_atom_site_label
_atom_site_type_symbol
_atom_site_fract_x
_atom_site_fract_y
_atom_site_fract_z
Li1 Li 0.000 0.000 0.000
Np1 Np 0.750 0.750 0.750
Be1 Be 0.250 0.250 0.250
```